{"formula": "MnCr2PbCl8", "functional": "PBE", "state": "optimized geometry", "total_magnetization_mub_per_fu": 13.0, "total_energy_ev_per_cell": -58.53, "density_g_cm3": 3.530, "lattice_angstrom": [[6.096, 0.170, -0.310], [0.250, 5.970, -0.341], [-0.375, -0.386, 8.449]], "species": ["Pb", "Cr", "Cl", "Cl", "Cl", "Cr", "Cl", "Cl", "Cl", "Cl", "Cl", "Mn"], "frac_coords": [[0.000, 0.000, 0.500], [0.502, 0.503, 0.770], [0.686, 0.729, 0.983], [0.344, 0.303, 0.535], [0.314, 0.271, 0.017], [0.498, 0.497, 0.230], [0.805, 0.222, 0.782], [0.195, 0.778, 0.218], [0.820, 0.238, 0.225], [0.656, 0.697, 0.465], [0.180, 0.762, 0.775], [0.000, 0.000, 0.000]]}